VASP calculation (PBE-GGA) on an optimized crystal structure of Ho3Sc2Zn2.

Output
**ΔE to the lowest computed polymorph**: 57 meV per atom
**D(E_F)**: 10.45 states/eV/f.u.
**Formation energy from the elements**: -0.0859 eV/atom
**E**: -29.55 eV per cell

Lattice parameters (Å, degrees): 14.872 14.872 3.388 90.00 90.00 166.54
Fractional coordinates of all 7 atoms:
Ho  0.000  0.000  0.000
Ho  0.125  0.875  0.000
Ho  0.875  0.125  0.000
Sc  0.295  0.705  0.500
Sc  0.705  0.295  0.500
Zn  0.438  0.562  0.500
Zn  0.562  0.438  0.500

VASP calculation (PBE-GGA) on an optimized crystal structure of Sc2GaCu3.

Output
**ΔE to the lowest computed polymorph**: 11 meV per atom
**D(E_F)**: 4.43 states/eV/f.u.
**Formation energy from the elements**: -0.3367 eV/atom
**E**: -60.00 eV per cell

Lattice parameters (Å, degrees): 8.547 8.032 5.262 76.91 66.25 36.85
Fractional coordinates of all 12 atoms:
Sc  0.245  0.755  0.755
Sc  0.250  0.250  0.250
Sc  0.750  0.750  0.750
Sc  0.755  0.245  0.245
Ga  0.334  0.334  0.666
Ga  0.666  0.666  0.334
Cu  0.167  0.167  0.833
Cu  0.167  0.667  0.333
Cu  0.333  0.833  0.167
Cu  0.667  0.167  0.833
Cu  0.833  0.333  0.667
Cu  0.833  0.833  0.167